{
  "formula": "AlCr2Pt2",
  "functional": "PBE-GGA",
  "state": "optimized geometry",
  "lattice": [[7.287, 0.000, 0.000], [0.000, 7.287, 0.000], [0.000, 0.000, 2.921]],
  "species": ["Cr", "Cr", "Cr", "Cr", "Al", "Al", "Pt", "Pt", "Pt", "Pt"],
  "frac_coords": [[0.163, 0.663, 0.500], [0.663, 0.837, 0.500], [0.837, 0.337, 0.500], [0.337, 0.163, 0.500], [0.000, 0.000, 0.000], [0.500, 0.500, 0.000], [0.365, 0.865, 0.000], [0.865, 0.635, 0.000], [0.635, 0.135, 0.000], [0.135, 0.365, 0.000]],
  "n_ef_per_ev_cell": 9.2,
  "crystal_system": "tetragonal",
  "spacegroup": "P4/mbm (127)",
  "formation_energy_mev_per_atom": -104
}

{
  "formula": "LaSc5Zn4",
  "functional": "PBE-GGA",
  "state": "optimized geometry",
  "lattice": [[-0.131, 1.804, -2.851], [-0.558, -2.826, -1.762], [-18.193, 2.202, 2.226]],
  "species": ["La", "Sc", "Sc", "Sc", "Sc", "Sc", "Zn", "Zn", "Zn", "Zn"],
  "frac_coords": [[0.000, 0.000, 0.000], [0.500, 0.500, 0.142], [0.500, 0.500, 0.320], [0.500, 0.500, 0.500], [0.500, 0.500, 0.680], [0.500, 0.500, 0.858], [0.000, 0.000, 0.229], [0.000, 0.000, 0.410], [0.000, 0.000, 0.590], [0.000, 0.000, 0.771]],
  "n_ef_per_ev_cell": 10.7,
  "crystal_system": "tetragonal",
  "spacegroup": "P4/mmm (123)",
  "formation_energy_mev_per_atom": -282
}

{
  "formula": "Ba2NaMnH6",
  "functional": "PBE-GGA",
  "state": "optimized geometry",
  "lattice": [[5.573, 0.000, 0.000], [0.000, 5.555, 0.000], [0.000, -2.778, 4.811]],
  "species": ["Ba", "Ba", "Na", "Mn", "H", "H", "H", "H", "H", "H"],
  "frac_coords": [[0.196, 0.333, 0.667], [0.804, 0.667, 0.333], [0.500, 0.000, 0.000], [0.000, 0.000, 0.000], [0.826, 0.148, 0.296], [0.826, 0.148, 0.852], [0.826, 0.704, 0.852], [0.174, 0.852, 0.148], [0.174, 0.296, 0.148], [0.174, 0.852, 0.704]],
  "n_ef_per_ev_cell": 0.4,
  "crystal_system": "trigonal",
  "spacegroup": "P-3m1 (164)"
}

no.,uncorrected energy (eV for the cell shown)
1,-71.184
2,-44.499
3,-37.302